Record 1
Be4AsRu: optimized geometry, PBE-GGA.

Structure (POSCAR):
```
Be4AsRu
1.0
4.012 -1.002 -1.507
2.646 -2.613 2.354
0.870 -4.083 -1.395
Ru As Be
1 1 4
Cartesian
5.646 -5.774 -0.411
0.000 0.000 0.000
3.264 -4.916 -0.896
2.834 -2.898 -0.206
4.817 -3.393 -0.951
4.142 -4.189 0.957
```

- space group = F-43m, No. 216
- energy of formation (eV per atom) = -0.162


Record 2
Y2Zn3Cd6: optimized geometry, PBE-GGA.

Structure (POSCAR):
```
Y2Zn3Cd6
1.0
4.434 0.000 0.000
0.000 6.951 -4.013
0.000 0.000 8.026
Y Cd Zn
2 6 3
Cartesian
0.000 2.317 4.013
0.000 4.634 0.000
0.000 5.486 -3.168
2.217 0.000 2.305
0.000 0.000 6.335
0.000 1.464 0.846
2.217 1.997 -1.153
2.217 4.954 2.860
2.217 0.000 4.874
2.217 2.730 1.576
2.217 4.221 -2.437
```

- space group = P-62m, No. 189
- energy of formation (eV per atom) = -0.163